a) The following is a PBE-GGA calculation of a relaxed Y4Zn crystal, from Alexandria.

It has space group C2/m (No. 12), with a = 12.522 Å, b = 3.646 Å, c = 12.672 Å, α = 90.00°, β = 92.99° and γ = 90.00°. Symmetry generates all atoms from Y at (0.077, 0.000, 0.340), Y at (0.084, 0.500, 0.838), Y at (0.145, 0.000, 0.074), Y at (0.152, 0.500, 0.575) and Zn at (0.245, 0.500, 0.250).

The calculation puts the magnetic moment at 0.00 μB per cell.

---

b) The following is a PBE-GGA calculation of a relaxed Y4Zn crystal, from Alexandria.

It has space group Im-3m (No. 229), with a = 6.849 Å, b = 6.849 Å, c = 6.849 Å, α = 90.00°, β = 90.00° and γ = 90.00°. Symmetry generates all atoms from Y at (0.250, 0.250, 0.250) and Zn at (0.000, 0.000, 0.000).

The calculation puts the magnetic moment at 2.97 μB per cell.

---

c) The following is a PBE-GGA calculation of a relaxed Y4Zn crystal, from Alexandria.

It has space group I4/mmm (No. 139), with a = 4.190 Å, b = 4.190 Å, c = 18.000 Å, α = 90.00°, β = 90.00° and γ = 90.00°. Symmetry generates all atoms from Y at (0.000, 0.000, 0.087), Y at (0.000, 0.500, 0.250) and Zn at (0.000, 0.000, 0.500).

The calculation puts the magnetic moment at 0.00 μB per cell.

---

d) The following is a PBE-GGA calculation of a relaxed Y4Zn crystal, from Alexandria.

It has space group Fdd2 (No. 43), with a = 12.704 Å, b = 13.424 Å, c = 7.055 Å, α = 90.00°, β = 90.00° and γ = 90.00°. Symmetry generates all atoms from Y at (0.077, 0.126, 0.000), Y at (0.115, 0.177, 0.537) and Zn at (0.000, 0.000, 0.641).

The calculation puts the magnetic moment at 0.00 μB per cell.

---

It turns out a) is the most stable, with the second structure 13.6 kJ/mol of atoms higher.

---

a) The following is a PBE-GGA calculation of a relaxed YZr2Zn2 crystal, from Alexandria.

It has space group I4/mmm (No. 139), with a = 4.260 Å, b = 4.260 Å, c = 12.309 Å, α = 90.00°, β = 90.00° and γ = 90.00°. Symmetry generates all atoms from Y at (0.000, 0.000, 0.000), Zr at (0.000, 0.500, 0.250) and Zn at (0.000, 0.000, 0.402).

The calculation puts the magnetic moment at 0.00 μB per cell.

---

b) The following is a PBE-GGA calculation of a relaxed YZr2Zn2 crystal, from Alexandria.

It has space group Cmcm (No. 63), with a = 3.371 Å, b = 25.487 Å, c = 4.917 Å, α = 90.00°, β = 90.00° and γ = 90.00°. Symmetry generates all atoms from Y at (0.000, 0.147, 0.250), Zr at (0.000, 0.045, 0.750), Zr at (0.000, 0.234, 0.750), Zn at (0.000, 0.364, 0.250) and Zn at (0.000, 0.452, 0.750).

The calculation puts the magnetic moment at 0.00 μB per cell.

---

c) The following is a PBE-GGA calculation of a relaxed YZr2Zn2 crystal, from Alexandria.

It has space group P4/mbm (No. 127), with a = 8.051 Å, b = 8.051 Å, c = 3.323 Å, α = 90.00°, β = 90.00° and γ = 90.00°. Symmetry generates all atoms from Y at (0.000, 0.000, 0.000), Zr at (0.153, 0.347, 0.500) and Zn at (0.147, 0.647, 0.000).

The calculation puts the magnetic moment at 0.00 μB per cell.

---

It turns out b) is the most stable, with the second structure 6.7 kJ/mol of atoms higher.

---

a) The following is a PBE-GGA calculation of a relaxed Y2ZrZn2 crystal, from Alexandria.

It has space group I4/mmm (No. 139), with a = 4.454 Å, b = 4.454 Å, c = 12.132 Å, α = 90.00°, β = 90.00° and γ = 90.00°. Symmetry generates all atoms from Y at (0.000, 0.500, 0.250), Zr at (0.000, 0.000, 0.000) and Zn at (0.000, 0.000, 0.406).

The calculation puts the magnetic moment at 0.00 μB per cell.

---

b) The following is a PBE-GGA calculation of a relaxed Y2ZrZn2 crystal, from Alexandria.

It has space group P4/mbm (No. 127), with a = 8.093 Å, b = 8.093 Å, c = 3.584 Å, α = 90.00°, β = 90.00° and γ = 90.00°. Symmetry generates all atoms from Y at (0.172, 0.328, 0.000), Zr at (0.000, 0.000, 0.500) and Zn at (0.127, 0.627, 0.500).

The calculation puts the magnetic moment at 1.95 μB per cell.

---

c) The following is a PBE-GGA calculation of a relaxed Y2ZrZn2 crystal, from Alexandria.

It has space group I4/mmm (No. 139), with a = 3.488 Å, b = 3.488 Å, c = 20.348 Å, α = 90.00°, β = 90.00° and γ = 90.00°. Symmetry generates all atoms from Y at (0.000, 0.000, 0.113), Zr at (0.000, 0.000, 0.500) and Zn at (0.000, 0.500, 0.250).

The calculation puts the magnetic moment at 0.00 μB per cell.

---

It turns out b) is the most stable, with the second structure 21.9 kJ/mol of atoms higher.

---

a) The following is a PBE-GGA calculation of a relaxed Y3ZrZn crystal, from Alexandria.

It has space group Pm-3m (No. 221), with a = 5.506 Å, b = 5.506 Å, c = 5.506 Å, α = 90.00°, β = 90.00° and γ = 90.00°. Symmetry generates all atoms from Y at (0.000, 0.000, 0.500), Zr at (0.000, 0.000, 0.000) and Zn at (0.500, 0.500, 0.500).

The calculation puts the magnetic moment at 0.00 μB per cell.

---

b) The following is a PBE-GGA calculation of a relaxed Y3ZrZn crystal, from Alexandria.

It has space group Pm-3m (No. 221), with a = 5.383 Å, b = 5.383 Å, c = 5.383 Å, α = 90.00°, β = 90.00° and γ = 90.00°. Symmetry generates all atoms from Y at (0.000, 0.000, 0.500), Zr at (0.500, 0.500, 0.500) and Zn at (0.000, 0.000, 0.000).

The calculation puts the magnetic moment at 1.57 μB per cell.

---

It turns out b) is the most stable, with the second structure 29.6 kJ/mol of atoms higher.

---

a) The following is a PBE-GGA calculation of a relaxed YZr3Zn crystal, from Alexandria.

It has space group Pm-3m (No. 221), with a = 5.101 Å, b = 5.101 Å, c = 5.101 Å, α = 90.00°, β = 90.00° and γ = 90.00°. Symmetry generates all atoms from Y at (0.000, 0.000, 0.000), Zr at (0.000, 0.500, 0.500) and Zn at (0.500, 0.500, 0.500).

The calculation puts the magnetic moment at 1.94 μB per cell.

---

b) The following is a PBE-GGA calculation of a relaxed YZr3Zn crystal, from Alexandria.

It has space group Pm-3m (No. 221), with a = 5.199 Å, b = 5.199 Å, c = 5.199 Å, α = 90.00°, β = 90.00° and γ = 90.00°. Symmetry generates all atoms from Y at (0.000, 0.000, 0.000), Zr at (0.000, 0.000, 0.500) and Zn at (0.500, 0.500, 0.500).

The calculation puts the magnetic moment at 0.00 μB per cell.

---

It turns out a) is the most stable, with the second structure 95.2 kJ/mol of atoms higher.

---

a) The following is a PBE-GGA calculation of a relaxed YZr crystal, from Alexandria.

It has space group Pmmn (No. 59, origin choice 2), with a = 3.362 Å, b = 16.269 Å, c = 5.895 Å, α = 90.00°, β = 90.00° and γ = 90.00°. Symmetry generates all atoms from Y at (0.250, 0.084, 0.079), Y at (0.250, 0.750, 0.738), Zr at (0.250, 0.250, 0.741) and Zr at (0.250, 0.582, 0.419).

The calculation puts the magnetic moment at 0.00 μB per cell.

---

b) The following is a PBE-GGA calculation of a relaxed YZr crystal, from Alexandria.

It has space group Fddd (No. 70, origin choice 2), with a = 8.391 Å, b = 9.119 Å, c = 11.816 Å, α = 90.00°, β = 90.00° and γ = 90.00°. Symmetry generates all atoms from Y at (0.125, 0.299, 0.125) and Zr at (0.033, 0.375, 0.875).

The calculation puts the magnetic moment at 0.00 μB per cell.

---

c) The following is a PBE-GGA calculation of a relaxed YZr crystal, from Alexandria.

It has space group I4/m (No. 87), with a = 11.876 Å, b = 11.876 Å, c = 3.207 Å, α = 90.00°, β = 90.00° and γ = 90.00°. Symmetry generates all atoms from Y at (0.105, 0.658, 0.000) and Zr at (0.083, 0.159, 0.000).

The calculation puts the magnetic moment at 0.00 μB per cell.

---

It turns out a) is the most stable, with the second structure 26.8 kJ/mol of atoms higher.

---

a) The following is a PBE-GGA calculation of a relaxed YZr crystal, from Alexandria.

It has space group Imm2 (No. 44), with a = 5.196 Å, b = 9.296 Å, c = 6.733 Å, α = 90.00°, β = 90.00° and γ = 90.00°. Symmetry generates all atoms from Y at (0.000, 0.000, 0.000), Y at (0.000, 0.330, 0.760), Zr at (0.000, 0.000, 0.523) and Zr at (0.000, 0.349, 0.251).

The calculation puts the magnetic moment at 0.00 μB per cell.

---

b) The following is a PBE-GGA calculation of a relaxed YZr crystal, from Alexandria.

It has space group Pmma (No. 51), with a = 5.348 Å, b = 3.390 Å, c = 6.040 Å, α = 90.00°, β = 90.00° and γ = 90.00°. Symmetry generates all atoms from Y at (0.250, 0.000, 0.167) and Zr at (0.250, 0.500, 0.636).

The calculation puts the magnetic moment at 0.00 μB per cell.

---

It turns out b) is the most stable, with the second structure 3.7 kJ/mol of atoms higher.

---

a) The following is a PBE-GGA calculation of a relaxed YZr crystal, from Alexandria.

It has space group P4/nmm (No. 129, origin choice 2), with a = 3.835 Å, b = 3.835 Å, c = 7.613 Å, α = 90.00°, β = 90.00° and γ = 90.00°. Symmetry generates all atoms from Y at (0.250, 0.250, 0.162) and Zr at (0.250, 0.250, 0.585).

The calculation puts the magnetic moment at 0.00 μB per cell.

---

b) The following is a PBE-GGA calculation of a relaxed YZr crystal, from Alexandria.

It has space group Pnma (No. 62), with a = 5.937 Å, b = 5.382 Å, c = 6.823 Å, α = 90.00°, β = 90.00° and γ = 90.00°. Symmetry generates all atoms from Y at (0.091, 0.250, 0.126) and Zr at (0.069, 0.250, 0.622).

The calculation puts the magnetic moment at 0.00 μB per cell.

---

It turns out a) is the most stable, with the second structure 0.6 kJ/mol of atoms higher.